Density functional theory data (PBE) for a relaxed LaHg3Ir crystal.

Unit cell a=6.011 b=6.011 c=6.011 alpha=90.00 beta=90.00 gamma=90.00
Space group Pm-3m (No. 221)
Inequivalent atoms, fractional coordinates:
1 La 0.000 0.000 0.000
2 Hg 0.000 0.000 0.500
3 Ir 0.500 0.500 0.500

E_form	1.43	eV/atom
DOS at the Fermi energy	1.35	states/eV per atom
distance to the lowest polymorph of the same formula	1.3710	eV/atom
energy	-1.51	eV per atom